[1]
The following is a PBE calculation of Ba2Li5Tl12 after structural relaxation, from Alexandria.

Cell lengths 8.191, 8.191, 8.191 Å; angles 80.73, 80.73, 80.73 degrees
Sites, in units of the cell vectors:
Ba 0.150 0.150 0.150
Ba 0.850 0.850 0.850
Li 0.000 0.500 0.500
Li 0.402 0.402 0.402
Li 0.500 0.000 0.500
Li 0.500 0.500 0.000
Li 0.598 0.598 0.598
Tl 0.160 0.160 0.624
Tl 0.160 0.624 0.160
Tl 0.209 0.500 0.791
Tl 0.209 0.791 0.500
Tl 0.376 0.840 0.840
Tl 0.500 0.209 0.791
Tl 0.500 0.791 0.209
Tl 0.624 0.160 0.160
Tl 0.791 0.209 0.500
Tl 0.791 0.500 0.209
Tl 0.840 0.376 0.840
Tl 0.840 0.840 0.376

Values from the calculation:
- space-group type = R-3m (166)
- DOS at the Fermi energy (states/eV per atom) = 0.4834
- formation energy from the elements (meV/atom) = -211
- total DFT energy (no corrections) (eV for the cell shown) = -45.8
- mass density (Mg/m³) = 8.65
- total moment (μB per formula unit) = 0.00

[2]
The following is a PBE calculation of BaLi2Tl6 after structural relaxation, from Alexandria.

Cell lengths 5.793, 5.793, 10.772 Å; angles 90.00, 90.00, 120.00 degrees
Sites, in units of the cell vectors:
Ba 0.000 0.000 0.000
Li 0.333 0.667 0.500
Li 0.667 0.333 0.500
Tl 0.000 0.341 0.720
Tl 0.000 0.659 0.280
Tl 0.341 0.000 0.720
Tl 0.341 0.341 0.280
Tl 0.659 0.000 0.280
Tl 0.659 0.659 0.720

Values from the calculation:
- space-group type = P-31m (162)
- DOS at the Fermi energy (states/eV per atom) = 0.6534
- formation energy from the elements (meV/atom) = -36
- total DFT energy (no corrections) (eV for the cell shown) = -20.3
- mass density (Mg/m³) = 7.31
- total moment (μB per formula unit) = 0.00

[3]
The following is a PBE calculation of BaLiTl4 after structural relaxation, from Alexandria.

Cell lengths 8.572, 8.572, 8.072 Å; angles 90.00, 90.00, 141.64 degrees
Sites, in units of the cell vectors:
Ba 0.110 0.890 0.750
Ba 0.890 0.110 0.250
Li 0.367 0.633 0.750
Li 0.633 0.367 0.250
Tl 0.104 0.896 0.250
Tl 0.286 0.714 0.057
Tl 0.286 0.714 0.443
Tl 0.500 0.500 0.000
Tl 0.500 0.500 0.500
Tl 0.714 0.286 0.557
Tl 0.714 0.286 0.943
Tl 0.896 0.104 0.750

Values from the calculation:
- space-group type = Cmcm (63)
- DOS at the Fermi energy (states/eV per atom) = 0.5239
- formation energy from the elements (meV/atom) = -201
- ΔE to the lowest computed polymorph (eV/atom) = 0.064
- total DFT energy (no corrections) (eV for the cell shown) = -29.0
- mass density (Mg/m³) = 8.68
- total moment (μB per formula unit) = 0.00

[4]
The following is a PBE calculation of BaLi3Tl3 after structural relaxation, from Alexandria.

Cell lengths 7.475, 7.475, 7.475 Å; angles 90.00, 90.00, 90.00 degrees
Sites, in units of the cell vectors:
Ba 0.000 0.000 0.000
Ba 0.500 0.500 0.500
Li 0.000 0.250 0.500
Li 0.000 0.750 0.500
Li 0.250 0.500 0.000
Li 0.500 0.000 0.250
Li 0.500 0.000 0.750
Li 0.750 0.500 0.000
Tl 0.000 0.500 0.250
Tl 0.000 0.500 0.750
Tl 0.250 0.000 0.500
Tl 0.500 0.250 0.000
Tl 0.500 0.750 0.000
Tl 0.750 0.000 0.500

Values from the calculation:
- space-group type = Pm-3n (223)
- DOS at the Fermi energy (states/eV per atom) = 0.6501
- formation energy from the elements (meV/atom) = -49
- ΔE to the lowest computed polymorph (eV/atom) = 0.163
- total DFT energy (no corrections) (eV for the cell shown) = -30.2
- mass density (Mg/m³) = 6.13
- total moment (μB per formula unit) = 0.00

[5]
The following is a PBE calculation of Ba3Li2Tl4 after structural relaxation, from Alexandria.

Cell lengths 6.147, 6.147, 10.192 Å; angles 101.54, 101.54, 53.91 degrees
Sites, in units of the cell vectors:
Ba 0.000 0.000 0.000
Ba 0.383 0.383 0.290
Ba 0.617 0.617 0.710
Li 0.292 0.292 0.632
Li 0.708 0.708 0.368
Tl 0.093 0.093 0.400
Tl 0.296 0.296 0.915
Tl 0.704 0.704 0.085
Tl 0.907 0.907 0.600

Values from the calculation:
- space-group type = C2/m (12)
- DOS at the Fermi energy (states/eV per atom) = 0.6875
- formation energy from the elements (meV/atom) = -316
- total DFT energy (no corrections) (eV for the cell shown) = -21.9
- mass density (Mg/m³) = 6.81
- total moment (μB per formula unit) = 0.00

[6]
The following is a PBE calculation of Ba3Li2Tl4 after structural relaxation, from Alexandria.

Cell lengths 6.710, 6.710, 10.231 Å; angles 112.11, 112.11, 46.35 degrees
Sites, in units of the cell vectors:
Ba 0.000 0.000 0.000
Ba 0.317 0.317 0.357
Ba 0.683 0.683 0.643
Li 0.438 0.438 0.757
Li 0.562 0.562 0.243
Tl 0.022 0.022 0.358
Tl 0.268 0.268 0.920
Tl 0.732 0.732 0.080
Tl 0.978 0.978 0.642

Values from the calculation:
- space-group type = C2/m (12)
- DOS at the Fermi energy (states/eV per atom) = 0.7901
- formation energy from the elements (meV/atom) = -317
- total DFT energy (no corrections) (eV for the cell shown) = -21.9
- mass density (Mg/m³) = 6.79
- total moment (μB per formula unit) = 0.00

[7]
The following is a PBE calculation of BaLi2Tl after structural relaxation, from Alexandria.

Cell lengths 3.943, 3.943, 7.691 Å; angles 90.00, 90.00, 90.00 degrees
Sites, in units of the cell vectors:
Ba 0.000 0.000 0.000
Li 0.500 0.500 0.324
Li 0.500 0.500 0.676
Tl 0.000 0.000 0.500

Values from the calculation:
- space-group type = P4/mmm (123)
- DOS at the Fermi energy (states/eV per atom) = 0.8430
- formation energy from the elements (meV/atom) = -89
- ΔE to the lowest computed polymorph (eV/atom) = 0.122
- total DFT energy (no corrections) (eV for the cell shown) = -8.5
- mass density (Mg/m³) = 4.94
- total moment (μB per formula unit) = 0.00

[8]
The following is a PBE calculation of BaLi3Tl after structural relaxation, from Alexandria.

Cell lengths 10.638, 10.638, 6.198 Å; angles 90.00, 90.00, 155.86 degrees
Sites, in units of the cell vectors:
Ba 0.066 0.934 0.750
Ba 0.934 0.066 0.250
Li 0.161 0.839 0.250
Li 0.294 0.706 0.004
Li 0.294 0.706 0.496
Li 0.706 0.294 0.504
Li 0.706 0.294 0.996
Li 0.839 0.161 0.750
Tl 0.423 0.577 0.750
Tl 0.577 0.423 0.250

Values from the calculation:
- space-group type = Cmcm (63)
- DOS at the Fermi energy (states/eV per atom) = 0.6806
- formation energy from the elements (meV/atom) = -124
- ΔE to the lowest computed polymorph (eV/atom) = 0.000
- total DFT energy (no corrections) (eV for the cell shown) = -21.3
- mass density (Mg/m³) = 4.20
- total moment (μB per formula unit) = 0.00